AcPmO2 after structural relaxation, computed with GGA-PBE.

Cell: 3.644 3.644 18.526 Å, 90.00 90.00 120.00°
Positions (direct):
Ac 0.000 0.000 0.000
Ac 0.333 0.667 0.667
Ac 0.667 0.333 0.333
Pm 0.000 0.000 0.500
Pm 0.333 0.667 0.167
Pm 0.667 0.333 0.833
O 0.000 0.000 0.235
O 0.000 0.000 0.765
O 0.333 0.667 0.432
O 0.333 0.667 0.901
O 0.667 0.333 0.099
O 0.667 0.333 0.568

Results
Formation energy (no corrections) ... -2677 meV per atom
Space-group type ... No. 166
Distance to the lowest polymorph of the same formula ... 0.0 meV per atom
Crystal system ... trigonal